This record from the Alexandria database describes an optimized crystal structure of Rb2Cu2SnTe4. The functional is PBE.

a b c (Å): 5.3727 7.2558 8.9650
angles (deg): 103.85 104.34 105.98
Fractional positions:
Rb (0.0767, 0.2384, 0.3880)
Rb (0.9233, 0.7616, 0.6120)
Cu (0.4234, 0.9325, 0.1048)
Cu (0.5766, 0.0675, 0.8952)
Sn (0.0000, 0.5000, 0.0000)
Te (0.3424, 0.8134, 0.3394)
Te (0.4796, 0.3053, 0.1205)
Te (0.5204, 0.6947, 0.8795)
Te (0.6576, 0.1866, 0.6606)

Raw total energy: -3.3626 eV per atom
Space-group type: P-1

=====

This record from the Alexandria database describes an optimized crystal structure of RbCuSnTe3. The functional is PBE.

a b c (Å): 10.2497 4.3295 10.3106
angles (deg): 90.00 112.24 90.00
Fractional positions:
Rb (0.2393, 0.2500, 0.2014)
Rb (0.7607, 0.7500, 0.7986)
Cu (0.4327, 0.7500, 0.9344)
Cu (0.5673, 0.2500, 0.0656)
Sn (0.1474, 0.2500, 0.6702)
Sn (0.8526, 0.7500, 0.3298)
Te (0.1555, 0.7500, 0.8750)
Te (0.1616, 0.7500, 0.4665)
Te (0.4611, 0.2500, 0.7944)
Te (0.5389, 0.7500, 0.2056)
Te (0.8384, 0.2500, 0.5335)
Te (0.8445, 0.2500, 0.1250)

Raw total energy: -3.4815 eV per atom
Space-group type: P2_1/m

=====

This record from the Alexandria database describes an optimized crystal structure of RbTi2CuSn. The functional is PBE.

a b c (Å): 5.3057 5.3057 6.6878
angles (deg): 90.00 90.00 90.00
Fractional positions:
Rb (0.0000, 0.0000, 0.0000)
Ti (0.0000, 0.5000, 0.5000)
Ti (0.5000, 0.0000, 0.5000)
Cu (0.5000, 0.5000, 0.0000)
Sn (0.0000, 0.0000, 0.5000)

Energy relative to the elements: 1.184 eV per atom
Raw total energy: -3.7872 eV per atom
Space-group type: P4/mmm

=====

This record from the Alexandria database describes an optimized crystal structure of RbTiCuSn2. The functional is PBE.

a b c (Å): 5.1070 5.1070 5.5635
angles (deg): 90.00 90.00 90.00
Fractional positions:
Rb (0.0000, 0.0000, 0.0000)
Ti (0.5000, 0.5000, 0.0000)
Cu (0.0000, 0.0000, 0.5000)
Sn (0.0000, 0.5000, 0.5000)
Sn (0.5000, 0.0000, 0.5000)

Energy relative to the elements: 0.694 eV per atom
Raw total energy: -3.4993 eV per atom
Space-group type: P4/mmm

=====

This record from the Alexandria database describes an optimized crystal structure of RbTl2CuSn. The functional is PBE.

a b c (Å): 5.5430 5.5430 5.2075
angles (deg): 90.00 90.00 90.00
Fractional positions:
Rb (0.0000, 0.0000, 0.0000)
Tl (0.0000, 0.5000, 0.5000)
Tl (0.5000, 0.0000, 0.5000)
Cu (0.5000, 0.5000, 0.5000)
Sn (0.5000, 0.5000, 0.0000)

Energy relative to the elements: 0.098 eV per atom
Raw total energy: -2.6615 eV per atom
Space-group type: P4/mmm

=====

This record from the Alexandria database describes an optimized crystal structure of Rb2VCuSn. The functional is PBE.

a b c (Å): 7.1042 7.1042 4.8208
angles (deg): 90.00 90.00 90.00
Fractional positions:
Rb (0.0000, 0.5000, 0.0000)
Rb (0.5000, 0.0000, 0.0000)
V (0.0000, 0.0000, 0.5000)
Cu (0.5000, 0.5000, 0.5000)
Sn (0.5000, 0.5000, 0.0000)

Energy relative to the elements: 1.005 eV per atom
Raw total energy: -2.8253 eV per atom
Space-group type: P4/mmm

=====

This record from the Alexandria database describes an optimized crystal structure of RbCuSnW2. The functional is PBE.

a b c (Å): 4.7184 4.7184 5.4711
angles (deg): 90.00 90.00 90.00
Fractional positions:
Rb (0.0000, 0.0000, 0.0000)
Cu (0.0000, 0.0000, 0.5000)
Sn (0.5000, 0.5000, 0.0000)
W (0.0000, 0.5000, 0.5000)
W (0.5000, 0.0000, 0.5000)

Energy relative to the elements: 1.999 eV per atom
Raw total energy: -4.9956 eV per atom
Space-group type: P4/mmm

=====

This record from the Alexandria database describes an optimized crystal structure of RbSrCu3. The functional is PBE.

a b c (Å): 5.5866 5.5866 5.5866
angles (deg): 90.00 90.00 90.00
Fractional positions:
Rb (0.0000, 0.0000, 0.0000)
Sr (0.5000, 0.5000, 0.5000)
Cu (0.0000, 0.0000, 0.5000)
Cu (0.0000, 0.5000, 0.0000)
Cu (0.5000, 0.0000, 0.0000)

Energy relative to the elements: 1.045 eV per atom
Raw total energy: -1.9425 eV per atom
Space-group type: Pm-3m

=====

This record from the Alexandria database describes an optimized crystal structure of RbSrCu2. The functional is PBE.

a b c (Å): 7.1904 7.1904 7.1904
angles (deg): 106.67 106.67 115.24
Fractional positions:
Rb (0.0000, 0.0000, 0.0000)
Rb (0.7500, 0.2500, 0.5000)
Sr (0.2500, 0.7500, 0.5000)
Sr (0.5000, 0.5000, 0.0000)
Cu (0.1488, 0.1250, 0.5238)
Cu (0.3750, 0.8512, 0.9762)
Cu (0.6012, 0.6250, 0.4762)
Cu (0.8750, 0.3988, 0.0238)

Energy relative to the elements: 0.493 eV per atom
Raw total energy: -2.2175 eV per atom
Space-group type: I-42d

=====

This record from the Alexandria database describes an optimized crystal structure of RbSrCu3. The functional is PBE.

a b c (Å): 5.8246 5.8246 5.8246
angles (deg): 90.00 90.00 90.00
Fractional positions:
Rb (0.0000, 0.0000, 0.0000)
Sr (0.5000, 0.5000, 0.5000)
Cu (0.0000, 0.5000, 0.5000)
Cu (0.5000, 0.0000, 0.5000)
Cu (0.5000, 0.5000, 0.0000)

Energy relative to the elements: 0.710 eV per atom
Raw total energy: -2.2776 eV per atom
Space-group type: Pm-3m

=====

This record from the Alexandria database describes an optimized crystal structure of RbSrCu2. The functional is PBE.

a b c (Å): 5.5508 5.5508 5.5508
angles (deg): 60.00 60.00 60.00
Fractional positions:
Rb (0.0000, 0.0000, 0.0000)
Sr (0.5000, 0.5000, 0.5000)
Cu (0.2500, 0.2500, 0.2500)
Cu (0.7500, 0.7500, 0.7500)

Energy relative to the elements: 0.348 eV per atom
Raw total energy: -2.3628 eV per atom
Space-group type: Fm-3m

=====

This record from the Alexandria database describes an optimized crystal structure of Rb2SrCuTe. The functional is PBE.

a b c (Å): 7.2785 7.2785 5.0416
angles (deg): 90.00 90.00 90.00
Fractional positions:
Rb (0.0000, 0.5000, 0.0000)
Rb (0.5000, 0.0000, 0.0000)
Sr (0.0000, 0.0000, 0.5000)
Cu (0.5000, 0.5000, 0.5000)
Te (0.5000, 0.5000, 0.0000)

Raw total energy: -2.2003 eV per atom
Space-group type: P4/mmm

=====

This record from the Alexandria database describes an optimized crystal structure of RbSrCuTe2. The functional is PBE.

a b c (Å): 9.7349 9.7349 5.6437
angles (deg): 90.00 90.00 126.94
Fractional positions:
Rb (0.2500, 0.7500, 0.7525)
Rb (0.7500, 0.2500, 0.2475)
Sr (0.2500, 0.2500, 0.5000)
Sr (0.7500, 0.7500, 0.5000)
Cu (0.0000, 0.0000, 0.0000)
Cu (0.5000, 0.5000, 0.0000)
Te (0.1155, 0.8845, 0.2470)
Te (0.3845, 0.6155, 0.2470)
Te (0.6155, 0.3845, 0.7530)
Te (0.8845, 0.1155, 0.7530)

Raw total energy: -3.5195 eV per atom
Space-group type: Cmme

=====

This record from the Alexandria database describes an optimized crystal structure of RbTa3Cu. The functional is PBE.

a b c (Å): 4.7596 4.7596 4.7596
angles (deg): 90.00 90.00 90.00
Fractional positions:
Rb (0.0000, 0.0000, 0.0000)
Ta (0.0000, 0.0000, 0.5000)
Ta (0.0000, 0.5000, 0.0000)
Ta (0.5000, 0.0000, 0.0000)
Cu (0.5000, 0.5000, 0.5000)

Energy relative to the elements: 3.326 eV per atom
Raw total energy: -4.7985 eV per atom
Space-group type: Pm-3m

=====

This record from the Alexandria database describes an optimized crystal structure of RbTaCu3. The functional is PBE.

a b c (Å): 4.8454 4.8454 4.8454
angles (deg): 90.00 90.00 90.00
Fractional positions:
Rb (0.0000, 0.0000, 0.0000)
Ta (0.5000, 0.5000, 0.5000)
Cu (0.0000, 0.0000, 0.5000)
Cu (0.0000, 0.5000, 0.0000)
Cu (0.5000, 0.0000, 0.0000)

Energy relative to the elements: 2.352 eV per atom
Raw total energy: -2.6702 eV per atom
Space-group type: Pm-3m

=====

This record from the Alexandria database describes an optimized crystal structure of RbTaCu2. The functional is PBE.

a b c (Å): 6.5103 6.5103 6.5103
angles (deg): 108.90 108.90 110.61
Fractional positions:
Rb (0.0000, 0.0000, 0.0000)
Rb (0.7500, 0.2500, 0.5000)
Ta (0.2500, 0.7500, 0.5000)
Ta (0.5000, 0.5000, 0.0000)
Cu (0.2012, 0.1250, 0.5762)
Cu (0.3750, 0.7988, 0.9238)
Cu (0.5488, 0.6250, 0.4238)
Cu (0.8750, 0.4512, 0.0762)

Energy relative to the elements: 1.293 eV per atom
Raw total energy: -3.9601 eV per atom
Space-group type: I-42d

=====

This record from the Alexandria database describes an optimized crystal structure of RbTa3Cu. The functional is PBE.

a b c (Å): 4.8893 4.8893 4.8893
angles (deg): 90.00 90.00 90.00
Fractional positions:
Rb (0.0000, 0.0000, 0.0000)
Ta (0.0000, 0.5000, 0.5000)
Ta (0.5000, 0.0000, 0.5000)
Ta (0.5000, 0.5000, 0.0000)
Cu (0.5000, 0.5000, 0.5000)

Energy relative to the elements: 1.874 eV per atom
Raw total energy: -6.2507 eV per atom
Space-group type: Pm-3m

=====

This record from the Alexandria database describes an optimized crystal structure of RbTaCu3. The functional is PBE.

a b c (Å): 5.0319 5.0319 5.0319
angles (deg): 90.00 90.00 90.00
Fractional positions:
Rb (0.0000, 0.0000, 0.0000)
Ta (0.5000, 0.5000, 0.5000)
Cu (0.0000, 0.5000, 0.5000)
Cu (0.5000, 0.0000, 0.5000)
Cu (0.5000, 0.5000, 0.0000)

Energy relative to the elements: 1.066 eV per atom
Raw total energy: -3.9559 eV per atom
Space-group type: Pm-3m

=====

This record from the Alexandria database describes an optimized crystal structure of RbTaCu2. The functional is PBE.

a b c (Å): 4.8673 4.8673 4.8673
angles (deg): 60.00 60.00 60.00
Fractional positions:
Rb (0.0000, 0.0000, 0.0000)
Ta (0.5000, 0.5000, 0.5000)
Cu (0.2500, 0.2500, 0.2500)
Cu (0.7500, 0.7500, 0.7500)

Energy relative to the elements: 1.414 eV per atom
Raw total energy: -3.8396 eV per atom
Space-group type: Fm-3m

=====

This record from the Alexandria database describes an optimized crystal structure of RbZrTaCu2. The functional is PBE.

a b c (Å): 4.8456 4.8456 5.2761
angles (deg): 90.00 90.00 90.00
Fractional positions:
Rb (0.0000, 0.0000, 0.0000)
Zr (0.5000, 0.5000, 0.0000)
Ta (0.0000, 0.0000, 0.5000)
Cu (0.0000, 0.5000, 0.5000)
Cu (0.5000, 0.0000, 0.5000)

Energy relative to the elements: 1.876 eV per atom
Raw total energy: -4.0361 eV per atom
Space-group type: P4/mmm